Entry from Alexandria via LeMat-Bulk: a geometry-optimized SmY12Ho7 structure (GGA-PBE).

It has space group R-3 (No. 148, hexagonal axes), with a = 18.5399 Å, b = 18.5399 Å, c = 6.7335 Å, α = 90.00°, β = 90.00° and γ = 120.00°. The distinct sites, in fractional coordinates, are Sm at (0.0000, 0.0000, 0.0000), Y at (0.0009, 0.2121, 0.2890), Y at (0.0077, 0.5371, 0.7370), Ho at (0.0000, 0.0000, 0.5000) and Ho at (0.0095, 0.1559, 0.7822).

The formation energy is 0.339 eV/atom. Its total energy is -5.377 eV per atom. As for the calculated volume: 33.4 A^3/atom. As for the energy above the most stable polymorph in this dataset: 51.7 meV per atom.



Entry from Alexandria via LeMat-Bulk: a geometry-optimized MnBe2Ag structure (GGA-PBE).

It has space group Cm (No. 8), with a = 8.7556 Å, b = 2.5182 Å, c = 4.2357 Å, α = 90.00°, β = 107.22° and γ = 90.00°. The distinct sites, in fractional coordinates, are Mn at (0.0000, 0.0000, 0.0000), Be at (0.2546, 0.5000, 0.1297), Be at (0.4665, 0.0000, 0.4651) and Ag at (0.2196, 0.0000, 0.6148).

The formation energy is 0.277 eV/atom. Its total energy is -4.591 eV per atom. As for the calculated volume: 11.1 A^3/atom. As for the energy above the most stable polymorph in this dataset: 227.2 meV per atom.



Entry from Alexandria via LeMat-Bulk: a geometry-optimized TbEr4Al structure (GGA-PBE).

It has space group P4/mmm (No. 123), with a = 3.5041 Å, b = 3.5041 Å, c = 13.8870 Å, α = 90.00°, β = 90.00° and γ = 90.00°. The distinct sites, in fractional coordinates, are Tb at (0.0000, 0.0000, 0.0000), Er at (0.0000, 0.0000, 0.3637), Er at (0.5000, 0.5000, 0.1806) and Al at (0.5000, 0.5000, 0.5000).

The formation energy is -0.124 eV/atom. Its total energy is -4.561 eV per atom. As for the calculated volume: 28.4 A^3/atom. As for the energy above the most stable polymorph in this dataset: 0.0 meV per atom.



Entry from Alexandria via LeMat-Bulk: a geometry-optimized Th4Tl3Ag structure (GGA-PBE).

It has space group P4/mmm (No. 123), with a = 3.5286 Å, b = 3.5286 Å, c = 18.2123 Å, α = 90.00°, β = 90.00° and γ = 90.00°. The distinct sites, in fractional coordinates, are Th at (0.0000, 0.0000, 0.1157), Th at (0.0000, 0.0000, 0.3721), Tl at (0.5000, 0.5000, 0.2446), Tl at (0.5000, 0.5000, 0.5000) and Ag at (0.5000, 0.5000, 0.0000).

The formation energy is -0.115 eV/atom. Its total energy is -5.069 eV per atom. As for the calculated volume: 28.3 A^3/atom.



Entry from Alexandria via LeMat-Bulk: a geometry-optimized Li2MgHgF6 structure (GGA-PBE).

It has space group R3 (No. 146, hexagonal axes), with a = 5.3342 Å, b = 5.3342 Å, c = 14.4131 Å, α = 90.00°, β = 90.00° and γ = 120.00°. The distinct sites, in fractional coordinates, are Li at (0.0000, 0.0000, 0.0000), Li at (0.0000, 0.0000, 0.4872), Mg at (0.0000, 0.0000, 0.6980), Hg at (0.0000, 0.0000, 0.2116), F at (0.0058, 0.3376, 0.7614) and F at (0.0240, 0.6182, 0.2710).

Its total energy is -4.338 eV per atom. As for the calculated volume: 11.8 A^3/atom.



Entry from Alexandria via LeMat-Bulk: a geometry-optimized CaDy2S4 structure (GGA-PBE).

It has space group Cmcm (No. 63), with a = 3.9031 Å, b = 12.9142 Å, c = 13.3140 Å, α = 90.00°, β = 90.00° and γ = 90.00°. The distinct sites, in fractional coordinates, are Ca at (0.0000, 0.1133, 0.2500), Dy at (0.0000, 0.3662, 0.0715), S at (0.0000, 0.0000, 0.0000), S at (0.0000, 0.2723, 0.6177) and S at (0.0000, 0.4608, 0.2500).

Its total energy is -6.048 eV per atom. As for the calculated volume: 24.0 A^3/atom. As for the energy above the most stable polymorph in this dataset: 0.0 meV per atom.